Material: PrErZn2Sn2
Method: DFT, PBE-GGA
State: relaxed

The symmetry is P6_3/mmc, No. 194. The value obtained for the calculated volume is 286.5 Å³/cell. The value obtained for the energy is -47.096 eV/cell.

a = 4.533 Å, b = 4.533 Å, c = 16.096 Å
α = 90.00°, β = 90.00°, γ = 120.00°
Atoms (fractional coordinates):
Pr 0.000 0.000 0.000
Pr 0.000 0.000 0.500
Er 0.000 0.000 0.250
Er 0.000 0.000 0.750
Zn 0.333 0.667 0.163
Zn 0.333 0.667 0.337
Zn 0.667 0.333 0.663
Zn 0.667 0.333 0.837
Sn 0.333 0.667 0.619
Sn 0.333 0.667 0.881
Sn 0.667 0.333 0.119
Sn 0.667 0.333 0.381

---

Material: Tb2Pr3Er
Method: DFT, PBE-GGA
State: relaxed

The symmetry is Cmcm, No. 63. For the energy of formation, the calculation gives -3.1 meV/atom. The value obtained for the calculated volume is 400.8 Å³/cell.

a = 6.304 Å, b = 6.304 Å, c = 11.643 Å
α = 90.00°, β = 90.00°, γ = 60.00°
Atoms (fractional coordinates):
Tb 0.000 0.334 0.250
Tb 0.000 0.666 0.750
Tb 0.334 0.000 0.750
Tb 0.666 0.000 0.250
Pr 0.000 0.000 0.000
Pr 0.000 0.000 0.500
Pr 0.334 0.334 0.000
Pr 0.334 0.334 0.500
Pr 0.666 0.666 0.000
Pr 0.666 0.666 0.500
Er 0.333 0.667 0.250
Er 0.667 0.333 0.750

---

Material: TbPrEr
Method: DFT, PBE-GGA
State: relaxed

The value obtained for the energy relative to the lowest polymorph listed for this composition is 0 meV/atom. The symmetry is F-43m, No. 216. For the energy of formation, the calculation gives 702.2 meV/atom. The value obtained for the calculated volume is 462.5 Å³/cell.

a = 7.734 Å, b = 7.734 Å, c = 7.734 Å
α = 90.00°, β = 90.00°, γ = 90.00°
Atoms (fractional coordinates):
Tb 0.000 0.000 0.000
Tb 0.000 0.500 0.500
Tb 0.500 0.000 0.500
Tb 0.500 0.500 0.000
Pr 0.000 0.000 0.500
Pr 0.000 0.500 0.000
Pr 0.500 0.000 0.000
Pr 0.500 0.500 0.500
Er 0.250 0.250 0.750
Er 0.250 0.750 0.250
Er 0.750 0.250 0.250
Er 0.750 0.750 0.750

---

Material: PrErTe
Method: DFT, PBE-GGA
State: relaxed

The symmetry is F-43m, No. 216. The value obtained for the calculated volume is 385.2 Å³/cell. The value obtained for the energy is -56.311 eV/cell.

a = 7.276 Å, b = 7.276 Å, c = 7.276 Å
α = 90.00°, β = 90.00°, γ = 90.00°
Atoms (fractional coordinates):
Pr 0.000 0.000 0.000
Pr 0.000 0.500 0.500
Pr 0.500 0.000 0.500
Pr 0.500 0.500 0.000
Er 0.000 0.000 0.500
Er 0.000 0.500 0.000
Er 0.500 0.000 0.000
Er 0.500 0.500 0.500
Te 0.250 0.250 0.750
Te 0.250 0.750 0.250
Te 0.750 0.250 0.250
Te 0.750 0.750 0.750

---

Material: Pr5ErTe6
Method: DFT, PBE-GGA
State: relaxed

The symmetry is C2/m, No. 12. The value obtained for the calculated volume is 385.0 Å³/cell. The value obtained for the energy is -64.153 eV/cell.

a = 7.791 Å, b = 7.791 Å, c = 7.763 Å
α = 99.57°, β = 99.57°, γ = 119.97°
Atoms (fractional coordinates):
Pr 0.000 0.000 0.000
Pr 0.168 0.832 0.500
Pr 0.323 0.677 0.000
Pr 0.677 0.323 0.000
Pr 0.832 0.168 0.500
Er 0.500 0.500 0.500
Te 0.100 0.420 0.259
Te 0.263 0.263 0.750
Te 0.420 0.100 0.259
Te 0.580 0.900 0.741
Te 0.737 0.737 0.250
Te 0.900 0.580 0.741

---

Material: PrEr2Te3
Method: DFT, PBE-GGA
State: relaxed

The symmetry is P-3m1, No. 164. The value obtained for the calculated volume is 179.1 Å³/cell. The value obtained for the energy is -31.082 eV/cell.

a = 4.354 Å, b = 4.354 Å, c = 10.914 Å
α = 90.00°, β = 90.00°, γ = 120.00°
Atoms (fractional coordinates):
Pr 0.000 0.000 0.000
Er 0.333 0.667 0.661
Er 0.667 0.333 0.339
Te 0.000 0.000 0.500
Te 0.333 0.667 0.183
Te 0.667 0.333 0.817

---

Number 1: total moment 0.00 μB per cell. Number 2: total moment 0.08 μB per cell. Number 3: total moment 0.03 μB per cell. Number 4: total moment 3.05 μB per cell. Number 5: total moment 0.00 μB per cell. Number 6: total moment 0.00 μB per cell.